No. 1
The following is a DFT calculation (PBE) of a geometry-optimized Dy3Zn7Ru2 structure.

abc: 4.144 28.373 3.946
angles: 90.00 90.00 90.00
Space group Cmmm (No. 65)
One atom of each set of equivalent atoms:
Dy 0.000 0.000 0.000 (multiplicity 2)
Dy 0.000 0.169 0.000 (multiplicity 4)
Zn 0.000 0.081 0.500 (multiplicity 4)
Zn 0.000 0.275 0.500 (multiplicity 4)
Zn 0.000 0.421 0.000 (multiplicity 4)
Zn 0.000 0.500 0.500 (multiplicity 2)
Ru 0.000 0.362 0.500 (multiplicity 4)

Computed properties:
crystal system	orthorhombic
E_form	-0.177	eV per atom
M_tot	0.0000	μB per atom

---

No. 2
The following is a DFT calculation (PBE) of a geometry-optimized AcPuGe4 structure.

abc: 7.843 17.525 4.288
angles: 90.00 90.00 90.00
Space group Pbam (No. 55)
One atom of each set of equivalent atoms:
Ac 0.131 0.167 0.000 (multiplicity 4)
Pu 0.128 0.415 0.000 (multiplicity 4)
Ge 0.033 0.685 0.500 (multiplicity 4)
Ge 0.096 0.939 0.500 (multiplicity 4)
Ge 0.152 0.540 0.500 (multiplicity 4)
Ge 0.211 0.804 0.500 (multiplicity 4)

Computed properties:
energy above the lowest structure with this stoichiometry	36	meV per atom
crystal system	orthorhombic
E_form	-0.417	eV per atom
M_tot	0.9258	μB per atom

---

| no. | V (Å³/cell) | D(E_F) (states/eV/f.u.) |
| --- | --- | --- |
| 1 | 464 | 8.38 |
| 2 | 589 | 11.36 |